Compound: VZn6O6
Source: Alexandria via LeMat-Bulk
Functional: PBE with a Hubbard U
Structure: relaxed

Size of the total moment in μB/atom: 0.314
Total energy in eV per atom: -4.406

POSCAR file:
```
VZn6O6
1.0
-4.990 2.120 1.880
-2.833 -3.790 -3.245
0.043 -3.750 4.343
V Zn O
1 6 6
Cartesian
0.000 0.000 0.000
-5.148 -0.310 -0.217
-2.097 -4.710 -0.255
-0.693 -2.831 1.353
-2.463 -1.744 4.187
-2.675 -1.361 -1.148
-2.484 0.114 2.035
-3.201 0.116 0.131
-1.384 -4.711 1.638
-3.725 -0.283 3.583
-1.406 -2.830 -0.541
-4.622 -1.786 -1.497
-1.222 -1.347 2.640
```